# 1
A plane-wave DFT calculation with PBE was carried out for a relaxed Ti2Pd crystal.

POSCAR file:
```
Ti2Pd
1.0
-4.8435 -2.0478 1.4289
-1.7329 -2.5083 4.5167
2.7199 4.2243 -2.1100
Pd Ti
1 2
direct
0.0000 0.0000 0.0000
0.6648 0.6648 0.0000
0.3352 0.3352 0.0000
```

Output
final energy = -22.33 eV per cell
energy of formation from the pure elements = -0.448 eV per atom



# 2
A plane-wave DFT calculation with PBE was carried out for a relaxed AcCdInO4 crystal.

POSCAR file:
```
AcCdInO4
1.0
-4.6973 1.7751 4.5400
-1.5723 -4.4309 5.1527
2.0235 1.8842 6.4039
Cd O In Ac
2 8 2 2
direct
0.6152 0.6348 0.1348
0.3848 0.3652 0.8652
0.7433 0.7965 0.7169
0.2567 0.2035 0.2831
0.2588 0.2302 0.7302
0.2567 0.7831 0.7035
0.7807 0.2302 0.7302
0.7412 0.7698 0.2698
0.2193 0.7698 0.2698
0.7433 0.2169 0.2965
0.0000 0.0000 0.5000
0.5000 0.0000 0.5000
0.0000 0.5000 0.5000
0.0000 0.0000 0.0000
```

Output
final energy = -81.80 eV per cell
E_form (uncorrected) = -1.90 eV per atom



# 3
A plane-wave DFT calculation with PBE was carried out for a relaxed Bi2AsPb2 crystal.

POSCAR file:
```
Bi2AsPb2
1.0
-6.3279 4.7179 -0.9458
-1.9774 -3.9741 -6.5948
-2.7684 -3.1644 2.7370
As Pb Bi
2 4 4
direct
0.0000 0.0000 0.0000
0.5000 0.5000 0.0000
0.8351 0.3351 0.5000
0.3351 0.1649 0.5000
0.6649 0.8351 0.5000
0.1649 0.6649 0.5000
0.1465 0.3535 0.0000
0.6465 0.1465 0.0000
0.8535 0.6465 0.0000
0.3535 0.8535 0.0000
```

Output
final energy = -37.55 eV per cell
energy of formation from the pure elements = 0.211 eV per atom



# 4
A plane-wave DFT calculation with PBE was carried out for a relaxed CaMg6CO8 crystal.

POSCAR file:
```
CaMg6CO8
1.0
4.3287 0.0000 0.0000
0.0000 4.3287 0.0000
0.0000 0.0000 8.6583
Mg Ca C O
6 1 1 8
direct
0.0000 0.0000 0.5000
0.5000 0.0000 0.2528
0.5000 0.0000 0.7472
0.5000 0.5000 0.5000
0.0000 0.5000 0.7472
0.0000 0.5000 0.2528
0.0000 0.0000 0.0000
0.5000 0.5000 0.0000
0.0000 0.0000 0.7365
0.0000 0.5000 0.5000
0.5000 0.0000 0.0000
0.5000 0.5000 0.7487
0.0000 0.5000 0.0000
0.0000 0.0000 0.2635
0.5000 0.5000 0.2513
0.5000 0.0000 0.5000
```

Output
final energy = -93.08 eV per cell
E_form (uncorrected) = -2.04 eV per atom



# 5
A plane-wave DFT calculation with PBE was carried out for a relaxed CaPr2Gd crystal.

POSCAR file:
```
CaPr2Gd
1.0
-3.9310 -1.5101 -3.0144
-0.3193 -4.5166 2.6790
-3.4102 2.2194 3.3352
Pr Gd Ca
2 1 1
direct
0.0000 0.0000 0.5000
0.0000 0.5000 0.0000
0.5000 0.0000 0.0000
0.5000 0.5000 0.5000
```

Output
final energy = -25.33 eV per cell
energy of formation from the pure elements = 0.077 eV per atom



# 6
A plane-wave DFT calculation with PBE was carried out for a relaxed Mg2IrCl crystal.

POSCAR file:
```
Mg2IrCl
1.0
-2.1536 1.5271 -1.5291
1.6905 -1.4996 -3.8783
-3.2438 -4.3183 0.2558
Mg Cl Ir
2 1 1
direct
0.5000 0.5000 0.3661
0.0000 0.0000 0.8859
0.0000 0.0000 0.3791
0.5000 0.5000 0.8688
```

Output
final energy = -15.30 eV per cell
E_form (uncorrected) = -0.35 eV per atom